[1]
# GGA-PBEsol Tl3Rh, optimized geometry
# Distance to the lowest polymorph of the same formula (eV/atom): 0.068
# Calculated volume (Å³ per cell): 141.41
# Energy relative to the elements (eV per formula unit): 0.50
data_Tl3Rh
_cell_length_a 5.210
_cell_length_b 5.210
_cell_length_c 5.210
_cell_angle_alpha 90.00
_cell_angle_beta 90.00
_cell_angle_gamma 90.00
_symmetry_space_group_name_H-M 'P m -3 m'
_symmetry_Int_Tables_number 221
_symmetry_space_group_name_Hall '-P 4 2 3'
loop_
_atom_site_label
_atom_site_type_symbol
_atom_site_fract_x
_atom_site_fract_y
_atom_site_fract_z
Tl1 Tl 0.000 0.000 0.500
Rh1 Rh 0.000 0.000 0.000

---

[2]
# GGA-PBEsol Tl2Rh, optimized geometry
# Calculated volume (Å³ per cell): 67.88
# Energy relative to the elements (eV per formula unit): 0.21
data_Tl2Rh
_cell_length_a 4.703
_cell_length_b 4.703
_cell_length_c 3.069
_cell_angle_alpha 90.00
_cell_angle_beta 90.00
_cell_angle_gamma 90.00
_symmetry_space_group_name_H-M 'P 4/m m m'
_symmetry_Int_Tables_number 123
_symmetry_space_group_name_Hall '-P 4 2'
loop_
_atom_site_label
_atom_site_type_symbol
_atom_site_fract_x
_atom_site_fract_y
_atom_site_fract_z
Tl1 Tl 0.000 0.500 0.000
Rh1 Rh 0.000 0.000 0.500

---

[3]
# GGA-PBEsol Tl2RhW, optimized geometry
# Distance to the lowest polymorph of the same formula (eV/atom): 0.432
# Calculated volume (Å³ per cell): 73.31
# Energy relative to the elements (eV per formula unit): 3.02
data_Tl2RhW
_cell_length_a 2.946
_cell_length_b 4.558
_cell_length_c 5.467
_cell_angle_alpha 90.00
_cell_angle_beta 93.10
_cell_angle_gamma 90.00
_symmetry_space_group_name_H-M 'P 1 2/m 1'
_symmetry_Int_Tables_number 10
loop_
_symmetry_equiv_pos_as_xyz
'x,y,z'
'-x,-y,-z'
'-x,y,-z'
'x,-y,z'
loop_
_atom_site_label
_atom_site_type_symbol
_atom_site_fract_x
_atom_site_fract_y
_atom_site_fract_z
Tl1 Tl 0.211 0.000 0.254
Rh1 Rh 0.000 0.500 0.500
W1 W 0.500 0.500 0.000